Here is SrZr2Mn at its PBEsol-relaxed geometry from Alexandria. Energies are from meta-GGA SCAN.

The excess energy over the best structure of this formula in the dataset is 0.0392 eV/atom. Its crystal system is orthorhombic. Its calculated formation energy is 0.511 eV/atom. The density of states at the Fermi level comes out at 3.7 states/eV/f.u. For the raw total energy, the calculation gives -1.8354 Ry per atom.

It has space group Pmmm (No. 47), with a = 3.7400 Å, b = 4.7882 Å, c = 5.1172 Å, α = 90.00°, β = 90.00° and γ = 90.00°. Symmetry generates all atoms from Sr at (0.0000, 0.0000, 0.0000), Zr at (0.0000, 0.5000, 0.5000), Zr at (0.5000, 0.0000, 0.5000) and Mn at (0.5000, 0.5000, 0.0000).

Here is NbHSeBr2 at its PBEsol-relaxed geometry from Alexandria. Energies are from meta-GGA SCAN.

Its crystal system is tetragonal. The density of states at the Fermi level comes out at 1.3 states/eV/f.u. For the raw total energy, the calculation gives -1.4054 Ry per atom.

It has space group P4/mmm (No. 123), with a = 5.1641 Å, b = 5.1641 Å, c = 4.9226 Å, α = 90.00°, β = 90.00° and γ = 90.00°. Symmetry generates all atoms from Nb at (0.0000, 0.0000, 0.0000), H at (0.5000, 0.5000, 0.5000), Se at (0.0000, 0.0000, 0.5000) and Br at (0.0000, 0.5000, 0.0000).

Here is Sr2Ni at its PBEsol-relaxed geometry from Alexandria. Energies are from meta-GGA SCAN.

Its crystal system is trigonal. Its calculated formation energy is 0.150 eV/atom. The density of states at the Fermi level comes out at 0.9 states/eV/f.u. For the raw total energy, the calculation gives -1.4767 Ry per atom.

It has space group P-3m1 (No. 164), with a = 4.1899 Å, b = 4.1899 Å, c = 6.8854 Å, α = 90.00°, β = 90.00° and γ = 120.00°. Symmetry generates all atoms from Sr at (0.3333, 0.6667, 0.2667) and Ni at (0.0000, 0.0000, 0.5000).

Here is Zn2FeAs at its PBEsol-relaxed geometry from Alexandria. Energies are from meta-GGA SCAN.

Its crystal system is trigonal. Its calculated formation energy is 0.115 eV/atom. The density of states at the Fermi level comes out at 1.6 states/eV/f.u. For the raw total energy, the calculation gives -1.1924 Ry per atom.

It has space group R3m (No. 160, hexagonal axes), with a = 2.8601 Å, b = 2.8601 Å, c = 24.0664 Å, α = 90.00°, β = 90.00° and γ = 120.00°. Symmetry generates all atoms from Zn at (0.0000, 0.0000, 0.0000), Zn at (0.0000, 0.0000, 0.2456), Fe at (0.0000, 0.0000, 0.4990) and As at (0.0000, 0.0000, 0.7648).